[1]
Computed, not measured: a geometry-optimized Tb6Pm8Tl structure at the PBE level of DFT.

The structure in POSCAR format:
```
Tb6Pm8Tl
1.0
6.5234 0.0000 0.0000
0.0000 8.1381 -4.6985
0.0000 0.0000 9.3971
Pm Tb Tl
8 6 1
Direct
0.1491 0.6667 0.3333
0.8189 0.2297 0.9587
0.8509 0.3333 0.6667
0.8189 0.7291 0.7703
0.1811 0.7703 0.0413
0.1811 0.2709 0.2297
0.1811 0.9587 0.7291
0.8189 0.0413 0.2709
0.3304 0.5501 0.6465
0.3304 0.3535 0.9036
0.6696 0.6465 0.0964
0.6696 0.9036 0.5501
0.6696 0.4499 0.3535
0.3304 0.0964 0.4499
0.5000 0.0000 0.0000
```

space group: P-3 (147)
magnetic moment: 0.0 Bohr magnetons per cell
total energy: -4.460 eV per atom
energy of formation from the pure elements: 1.258 eV/f.u.

[2]
Computed, not measured: a geometry-optimized Tb3PmTl structure at the PBE level of DFT.

The structure in POSCAR format:
```
Tb3PmTl
1.0
5.9292 -1.4667 -0.7816
-0.6705 6.0710 -0.7816
-1.6751 -1.4667 5.7411
Tl Tb Pm
1 3 1
Direct
0.2250 0.2250 0.2250
0.2250 0.7250 0.2250
0.2250 0.2250 0.7250
0.7250 0.2250 0.2250
0.7250 0.7250 0.7250
```

ΔE to the lowest computed polymorph: 0.4296 eV/atom
space group: R-3m (166)
magnetic moment: 2.3 Bohr magnetons per cell
total energy: -3.798 eV per atom
energy of formation from the pure elements: 2.019 eV/f.u.

[3]
Computed, not measured: a geometry-optimized Tb9Pm4Tl11 structure at the PBE level of DFT.

The structure in POSCAR format:
```
Tb9Pm4Tl11
1.0
3.5957 0.0000 0.0000
0.0000 13.2122 -5.1923
0.0000 0.4176 14.1898
Tl Tb Pm
11 9 4
Direct
0.0000 0.0465 0.4092
0.0000 0.8126 0.1874
0.0000 0.9535 0.5908
0.0000 0.6237 0.3763
0.0000 0.5908 0.9535
0.0000 0.1874 0.8126
0.0000 0.0000 0.0000
0.0000 0.2074 0.2074
0.0000 0.7926 0.7926
0.0000 0.4092 0.0465
0.0000 0.3763 0.6237
0.5000 0.2032 0.0139
0.5000 0.3872 0.8401
0.5000 0.9861 0.7968
0.5000 0.7968 0.9861
0.5000 0.5000 0.5000
0.5000 0.6128 0.1599
0.5000 0.0139 0.2032
0.5000 0.8401 0.3872
0.5000 0.1599 0.6128
0.5000 0.7500 0.5869
0.5000 0.5869 0.7500
0.5000 0.4131 0.2500
0.5000 0.2500 0.4131
```

space group: Cmmm (65)
magnetic moment: 0.0 Bohr magnetons per cell
total energy: -3.899 eV per atom
energy of formation from the pure elements: -6.862 eV/f.u.

Q: Look up the energy of formation from the pure elements of the third one.
A: -6.862 eV/f.u.

Q: Which value of magnetic moment does entry 1 give?
A: 0.0 Bohr magnetons per cell